Record 1
Computed, not measured: a geometry-optimized HfZr4C4 structure at the PBE level of DFT.

## Properties
The calculation puts the formation energy at -0.78 eV/atom. Its symmetry is No. 87.

Unit cell a=5.778 b=5.778 c=5.778 alpha=99.56 beta=99.56 gamma=131.90
Sites, in units of the cell vectors:
Hf: 0.000 0.000 0.000
Zr: 0.189 0.609 0.798
Zr: 0.391 0.189 0.580
Zr: 0.609 0.811 0.420
Zr: 0.811 0.391 0.202
C: 0.096 0.295 0.391
C: 0.295 0.904 0.198
C: 0.705 0.096 0.802
C: 0.904 0.705 0.609

---

Record 2
Computed, not measured: a geometry-optimized HfZr5C6 structure at the PBE level of DFT.

## Properties
The calculation puts the formation energy at -0.83 eV/atom. Its symmetry is No. 12.

Unit cell a=5.767 b=5.767 c=5.771 alpha=99.62 beta=99.62 gamma=119.95
Sites, in units of the cell vectors:
Hf: 0.000 0.000 0.000
Zr: 0.167 0.833 0.500
Zr: 0.333 0.667 0.000
Zr: 0.500 0.500 0.500
Zr: 0.667 0.333 0.000
Zr: 0.833 0.167 0.500
C: 0.083 0.414 0.249
C: 0.248 0.248 0.752
C: 0.414 0.083 0.249
C: 0.586 0.917 0.751
C: 0.752 0.752 0.248
C: 0.917 0.586 0.751

---

Record 3
Computed, not measured: a geometry-optimized HfZr2C3 structure at the PBE level of DFT.

## Properties
The calculation puts the formation energy at -0.85 eV/atom. Its symmetry is No. 12.

Unit cell a=5.756 b=5.756 c=5.754 alpha=99.58 beta=99.58 gamma=120.01
Sites, in units of the cell vectors:
Hf: 0.167 0.833 0.000
Hf: 0.833 0.167 0.000
Zr: 0.000 0.000 0.500
Zr: 0.333 0.667 0.500
Zr: 0.500 0.500 0.000
Zr: 0.667 0.333 0.500
C: 0.082 0.418 0.753
C: 0.247 0.247 0.247
C: 0.418 0.082 0.753
C: 0.582 0.918 0.247
C: 0.753 0.753 0.753
C: 0.918 0.582 0.247

---

Record 4
Computed, not measured: a geometry-optimized HfZr5C5 structure at the PBE level of DFT.

## Properties
The calculation puts the formation energy at -0.77 eV/atom. Its symmetry is No. 12.

Unit cell a=5.763 b=5.763 c=6.681 alpha=106.80 beta=106.80 gamma=48.20
Sites, in units of the cell vectors:
Hf: 0.000 0.000 0.000
Zr: 0.000 0.000 0.500
Zr: 0.326 0.326 0.672
Zr: 0.330 0.330 0.156
Zr: 0.670 0.670 0.844
Zr: 0.674 0.674 0.328
C: 0.166 0.166 0.334
C: 0.167 0.167 0.833
C: 0.500 0.500 0.000
C: 0.833 0.833 0.167
C: 0.834 0.834 0.666

---

Record 5
Computed, not measured: a geometry-optimized HfZrC3 structure at the PBE level of DFT.

## Properties
The calculation puts the formation energy at 1.55 eV/atom. Its symmetry is No. 221.

Unit cell a=4.168 b=4.168 c=4.168 alpha=90.00 beta=90.00 gamma=90.00
Sites, in units of the cell vectors:
Hf: 0.000 0.000 0.000
Zr: 0.500 0.500 0.500
C: 0.000 0.500 0.500
C: 0.500 0.000 0.500
C: 0.500 0.500 0.000

---

Record 6
Computed, not measured: a geometry-optimized HfZrC3 structure at the PBE level of DFT.

## Properties
The calculation puts the formation energy at 1.30 eV/atom. Its symmetry is No. 221.

Unit cell a=4.154 b=4.154 c=4.154 alpha=90.00 beta=90.00 gamma=90.00
Sites, in units of the cell vectors:
Hf: 0.000 0.000 0.000
Zr: 0.500 0.500 0.500
C: 0.000 0.000 0.500
C: 0.000 0.500 0.000
C: 0.500 0.000 0.000

---

Number 1: volume 131.1 Å³/cell. Number 2: volume 156.8 Å³/cell. Number 3: volume 155.6 Å³/cell. Number 4: volume 156.9 Å³/cell. Number 5: volume 72.4 Å³/cell. Number 6: volume 71.7 Å³/cell.